[1]
DFT (PBE) results for a relaxed structure of TaTiBeCr.

Results
Size of the total moment, μB/cell: 0.00
DOS at the Fermi energy, states/eV per atom: 1.018
Raw total energy, eV per formula unit: -33.1

Cell lengths 4.2868, 4.2868, 4.2868 Å; angles 60.00, 60.00, 60.00 degrees
Positions (direct):
Ta  0.0000  0.0000  0.0000
Ti  0.5000  0.5000  0.5000
Be  0.7500  0.7500  0.7500
Cr  0.2500  0.2500  0.2500

[2]
DFT (PBE) results for a relaxed structure of InPS2.

Results
Size of the total moment, μB/cell: 0.00
Energy above the lowest structure with this stoichiometry, eV per atom: 0.4378
E_form (uncorrected), kJ per mole of atoms: 42
DOS at the Fermi energy, states/eV per atom: 0.527
Raw total energy, eV per formula unit: -14.6

Cell lengths 4.6611, 4.6611, 4.6611 Å; angles 60.00, 60.00, 60.00 degrees
Positions (direct):
In  0.0000  0.0000  0.0000
P  0.5000  0.5000  0.5000
S  0.2500  0.2500  0.2500
S  0.7500  0.7500  0.7500

[3]
DFT (PBE) results for a relaxed structure of Ba3NbSi.

Results
Size of the total moment, μB/cell: 5.11
E_form (uncorrected), kJ per mole of atoms: 74
DOS at the Fermi energy, states/eV per atom: 1.390
Raw total energy, eV per formula unit: -17.4

Cell lengths 6.3164, 6.3164, 6.3164 Å; angles 90.00, 90.00, 90.00 degrees
Positions (direct):
Ba  0.0000  0.0000  0.5000
Ba  0.0000  0.5000  0.0000
Ba  0.5000  0.0000  0.0000
Nb  0.5000  0.5000  0.5000
Si  0.0000  0.0000  0.0000

[4]
DFT (PBE) results for a relaxed structure of Na5Ag.

Results
Size of the total moment, μB/cell: 0.00
Energy above the lowest structure with this stoichiometry, eV per atom: 0.0050
DOS at the Fermi energy, states/eV per atom: 0.316
Raw total energy, eV per formula unit: -9.4

Cell lengths 7.6909, 7.6909, 5.0096 Å; angles 90.00, 90.00, 142.20 degrees
Positions (direct):
Na  0.0000  0.0000  0.0000
Na  0.1521  0.8479  0.5000
Na  0.3474  0.6526  0.0000
Na  0.6526  0.3474  0.0000
Na  0.8479  0.1521  0.5000
Ag  0.5000  0.5000  0.5000

[5]
DFT (PBE) results for a relaxed structure of Ac6Pr4Nd.

Results
Size of the total moment, μB/cell: 0.00
Energy above the lowest structure with this stoichiometry, eV per atom: 0.0423
DOS at the Fermi energy, states/eV per atom: 1.674
Raw total energy, eV per formula unit: -44.8

Cell lengths 8.9239, 8.9239, 8.9239 Å; angles 121.76, 121.76, 86.98 degrees
Positions (direct):
Ac  0.0000  0.5000  0.5000
Ac  0.0408  0.0408  0.6363
Ac  0.4045  0.4045  0.3637
Ac  0.5000  0.0000  0.5000
Ac  0.5955  0.9592  0.0000
Ac  0.9592  0.5955  0.0000
Pr  0.0989  0.0989  0.3284
Pr  0.2294  0.9011  0.0000
Pr  0.7706  0.7706  0.6716
Pr  0.9011  0.2294  0.0000
Nd  0.5000  0.5000  0.0000

[6]
DFT (PBE) results for a relaxed structure of GaBi2OsCl.

Results
Size of the total moment, μB/cell: 0.00
E_form (uncorrected), kJ per mole of atoms: 19
DOS at the Fermi energy, states/eV per atom: 0.918
Raw total energy, eV per formula unit: -22.9

Cell lengths 5.3193, 5.3193, 4.9074 Å; angles 90.00, 90.00, 90.00 degrees
Positions (direct):
Ga  0.0000  0.0000  0.0000
Bi  0.0000  0.5000  0.5000
Bi  0.5000  0.0000  0.5000
Os  0.0000  0.0000  0.5000
Cl  0.5000  0.5000  0.0000

[7]
DFT (PBE) results for a relaxed structure of Ce4Th3.

Results
Size of the total moment, μB/cell: 0.00
DOS at the Fermi energy, states/eV per atom: 2.119
Raw total energy, eV per formula unit: -45.9

Cell lengths 5.9666, 5.9666, 7.7289 Å; angles 97.60, 97.60, 48.48 degrees
Positions (direct):
Ce  0.1428  0.1428  0.4305
Ce  0.2860  0.2860  0.8553
Ce  0.7140  0.7140  0.1447
Ce  0.8572  0.8572  0.5695
Th  0.0000  0.0000  0.0000
Th  0.4274  0.4274  0.2858
Th  0.5726  0.5726  0.7142

[8]
DFT (PBE) results for a relaxed structure of NpSO5F.

Results
Size of the total moment, μB/cell: 4.00
E_form (uncorrected), kJ per mole of atoms: -197
DOS at the Fermi energy, states/eV per atom: 0.634
Raw total energy, eV per formula unit: -60.1

Cell lengths 6.7929, 6.7929, 7.0249 Å; angles 105.02, 105.02, 112.73 degrees
Positions (direct):
Np  0.0000  0.0000  0.0000
Np  0.0000  0.0000  0.5000
S  0.3902  0.6098  0.7500
S  0.6098  0.3902  0.2500
O  0.0943  0.9057  0.7500
O  0.2992  0.3404  0.6677
O  0.3199  0.6666  0.5694
O  0.3334  0.6801  0.9306
O  0.3404  0.2992  0.1677
O  0.6596  0.7008  0.8323
O  0.6666  0.3199  0.0694
O  0.6801  0.3334  0.4306
O  0.7008  0.6596  0.3323
O  0.9057  0.0943  0.2500
F  0.1274  0.8726  0.2500
F  0.8726  0.1274  0.7500

What is the formula in the seventh record?
Ce4Th3